(1)
This record from the Alexandria database describes crystalline SrCa2Hg at its relaxed geometry. The functional is GGA-PBE.

Cell: 9.5941 9.5941 6.9686 Å, 90.00 90.00 90.00°
Space group I-42d (No. 122)
Asymmetric unit:
Sr 0.0000 0.0000 0.0000 (multiplicity 4)
Ca 0.1754 0.2500 0.6250 (multiplicity 8)
Hg 0.0000 0.0000 0.5000 (multiplicity 4)

(2)
This record from the Alexandria database describes crystalline Sr4CaHg at its relaxed geometry. The functional is GGA-PBE.

Cell: 10.7373 10.7373 10.7373 Å, 90.00 90.00 90.00°
Space group F-43m (No. 216)
Asymmetric unit:
Sr 0.1248 0.1248 0.1248 (multiplicity 16)
Ca 0.2500 0.2500 0.7500 (multiplicity 4)
Hg 0.0000 0.0000 0.5000 (multiplicity 4)

(3)
This record from the Alexandria database describes crystalline SrCa4Hg2 at its relaxed geometry. The functional is GGA-PBE.

Cell: 8.6403 6.9251 9.0056 Å, 90.00 111.85 90.00°
Space group P2_1/m (No. 11)
Asymmetric unit:
Sr 0.0025 0.2500 0.1499 (multiplicity 2)
Ca 0.2383 0.5009 0.5817 (multiplicity 4)
Ca 0.3461 0.7500 0.2597 (multiplicity 2)
Ca 0.3949 0.2500 0.0176 (multiplicity 2)
Hg 0.0216 0.2500 0.7398 (multiplicity 2)
Hg 0.4173 0.2500 0.3760 (multiplicity 2)

(4)
This record from the Alexandria database describes crystalline Sr2CaHg at its relaxed geometry. The functional is GGA-PBE.

Cell: 4.0185 4.0185 9.9604 Å, 90.00 90.00 90.00°
Space group P4/mmm (No. 123)
Asymmetric unit:
Sr 0.0000 0.0000 0.1953 (multiplicity 2)
Ca 0.5000 0.5000 0.5000 (multiplicity 1)
Hg 0.5000 0.5000 0.0000 (multiplicity 1)

(5)
This record from the Alexandria database describes crystalline SrCa2Hg at its relaxed geometry. The functional is GGA-PBE.

Cell: 5.0101 5.0101 5.6581 Å, 90.00 90.00 90.00°
Space group P4/mmm (No. 123)
Asymmetric unit:
Sr 0.0000 0.0000 0.0000 (multiplicity 1)
Ca 0.0000 0.5000 0.5000 (multiplicity 2)
Hg 0.5000 0.5000 0.0000 (multiplicity 1)

(6)
This record from the Alexandria database describes crystalline Sr2CaHg at its relaxed geometry. The functional is GGA-PBE.

Cell: 5.3790 5.3790 10.7678 Å, 90.00 90.00 90.00°
Space group I4/mmm (No. 139)
Asymmetric unit:
Sr 0.0000 0.5000 0.2500 (multiplicity 4)
Ca 0.0000 0.0000 0.0000 (multiplicity 2)
Hg 0.0000 0.0000 0.5000 (multiplicity 2)

| no. | total energy (eV per cell) |
| --- | --- |
| 1 | -26.40 |
| 2 | -30.24 |
| 3 | -25.01 |
| 4 | -6.75 |
| 5 | -6.62 |
| 6 | -12.15 |